A relaxed structure of MoPbO4, computed with PBE+U.

Summary:
Final energy: -6.50 eV/atom
Fermi-level density of states: 0.373 states/eV per cell

Structure (CIF):
```
data_MoPbO4
_cell_length_a 6.1253
_cell_length_b 5.2316
_cell_length_c 5.6225
_cell_angle_alpha 90.00
_cell_angle_beta 104.89
_cell_angle_gamma 90.00
_space_group_name_H-M_alt 'P 1 21/c 1'
_space_group_IT_number 14
_space_group_name_Hall '-P 2ybc'
loop_
_atom_site_label
_atom_site_type_symbol
_atom_site_fract_x
_atom_site_fract_y
_atom_site_fract_z
Mo1 Mo 0.0000 0.0000 0.0000
Pb1 Pb 0.5000 0.0000 0.5000
O1 O 0.0885 0.2147 0.2987
O2 O 0.2986 0.6193 0.5754
```